No. 1
Below is crystalline NaGePb3 at its relaxed geometry, with properties calculated at the PBE level.

Lattice parameters (Å, degrees): 5.6457 5.6457 5.6457 90.00 90.00 90.00
Closest atoms and distances in Å follow each position.
Sites, in units of the cell vectors:
1 Pb 0.0000 0.5000 0.0000  2 Ge 2.82
2 Pb 0.0000 0.0000 0.5000  2 Ge 2.82
3 Pb 0.5000 0.0000 0.0000  2 Ge 2.82
4 Na 0.5000 0.5000 0.5000  12 Pb 3.99
5 Ge 0.0000 0.0000 0.0000  6 Pb 2.82

Calculated values
- Total magnetization: 0.0 μB/f.u.
- Energy of formation: 296 meV per atom
- Fermi-level density of states: 4.741 states/eV/f.u.
- Polymorph energy (0 for the lowest one): 0 meV per atom

No. 2
Below is crystalline Na2Ge2Pb at its relaxed geometry, with properties calculated at the PBE level.

Lattice parameters (Å, degrees): 3.6867 3.6867 10.2095 79.60 79.60 90.00
Closest atoms and distances in Å follow each position.
Sites, in units of the cell vectors:
1 Pb 0.0000 0.0000 0.0000  8 Na 3.43, 4 Pb 3.69
2 Na 0.3871 0.3871 0.2257  4 Ge 3.28, 4 Pb 3.43
3 Na 0.6129 0.6129 0.7743  4 Ge 3.28, 4 Pb 3.43
4 Ge 0.7500 0.2500 0.5000  4 Ge 2.61
5 Ge 0.2500 0.7500 0.5000  4 Ge 2.61

Calculated values
- Total magnetization: 0.0 μB/f.u.
- Energy of formation: 33 meV per atom
- Fermi-level density of states: 2.779 states/eV/f.u.
- Polymorph energy (0 for the lowest one): 72 meV per atom

No. 3
Below is crystalline Na2Ge2Pb at its relaxed geometry, with properties calculated at the PBE level.

Lattice parameters (Å, degrees): 8.4240 8.4240 3.3738 90.00 90.00 90.00
Closest atoms and distances in Å follow each position.
Sites, in units of the cell vectors:
1 Pb 0.0000 0.0000 0.0000  2 Pb 3.37, 4 Ge 3.44, 8 Na 3.50
2 Pb 0.5000 0.5000 0.0000  2 Pb 3.37, 4 Ge 3.44, 8 Na 3.50
3 Na 0.1893 0.6893 0.5000  6 Ge 2.97-3.08
4 Na 0.6893 0.8107 0.5000  6 Ge 2.97-3.08
5 Na 0.8107 0.3107 0.5000  6 Ge 2.97-3.08
6 Na 0.3107 0.1893 0.5000  6 Ge 2.97-3.08
7 Ge 0.3944 0.8944 0.0000  1 Ge 2.52
8 Ge 0.8944 0.6056 0.0000  1 Ge 2.52
9 Ge 0.6056 0.1056 0.0000  1 Ge 2.52
10 Ge 0.1056 0.3944 0.0000  1 Ge 2.52

Calculated values
- Total magnetization: 0.0 μB/f.u.
- Energy of formation: -2 meV per atom
- Fermi-level density of states: 1.560 states/eV/f.u.
- Polymorph energy (0 for the lowest one): 37 meV per atom

No. 4
Below is crystalline Na2GePb2 at its relaxed geometry, with properties calculated at the PBE level.

Lattice parameters (Å, degrees): 7.4784 7.4784 4.8114 90.00 90.00 90.00
Closest atoms and distances in Å follow each position.
Sites, in units of the cell vectors:
1 Pb 0.1763 0.6763 0.5000  6 Na 3.11-3.37
2 Pb 0.6763 0.8237 0.5000  6 Na 3.11-3.37
3 Pb 0.8237 0.3237 0.5000  6 Na 3.11-3.37
4 Pb 0.3237 0.1763 0.5000  6 Na 3.11-3.37
5 Na 0.3630 0.8630 0.0000  1 Na 2.90, 2 Ge 2.90, 2 Pb 3.11
6 Na 0.8630 0.6370 0.0000  1 Na 2.90, 2 Ge 2.90, 2 Pb 3.11
7 Na 0.6370 0.1370 0.0000  1 Na 2.90, 2 Ge 2.90, 2 Pb 3.11
8 Na 0.1370 0.3630 0.0000  1 Na 2.90, 2 Ge 2.90, 2 Pb 3.11
9 Ge 0.0000 0.0000 0.0000  4 Na 2.90
10 Ge 0.5000 0.5000 0.0000  4 Na 2.90

Calculated values
- Total magnetization: 0.0 μB/f.u.
- Energy of formation: 133 meV per atom
- Fermi-level density of states: 1.441 states/eV/f.u.
- Polymorph energy (0 for the lowest one): 168 meV per atom

No. 5
Below is crystalline Na2GePb at its relaxed geometry, with properties calculated at the PBE level.

Lattice parameters (Å, degrees): 5.2099 5.2099 5.2099 60.00 60.00 60.00
Closest atoms and distances in Å follow each position.
Sites, in units of the cell vectors:
1 Pb 0.5000 0.5000 0.5000  8 Na 3.19
2 Na 0.2500 0.2500 0.2500  4 Pb 3.19, 4 Ge 3.19
3 Na 0.7500 0.7500 0.7500  4 Pb 3.19, 4 Ge 3.19
4 Ge 0.0000 0.0000 0.0000  8 Na 3.19

Calculated values
- Total magnetization: 0.0 μB/f.u.
- Energy of formation: 17 meV per atom
- Fermi-level density of states: 0.044 states/eV/f.u.
- Polymorph energy (0 for the lowest one): 78 meV per atom

No. 6
Below is crystalline NaGePb2 at its relaxed geometry, with properties calculated at the PBE level.

Lattice parameters (Å, degrees): 4.5428 4.5428 7.3435 71.98 71.98 60.00
Closest atoms and distances in Å follow each position.
Sites, in units of the cell vectors:
1 Na 0.5005 0.5005 0.4986  6 Pb 3.31-3.33, 1 Ge 3.42
2 Ge 0.6666 0.6666 0.0001  6 Pb 2.97
3 Pb 0.0675 0.0675 0.7976  3 Ge 2.97
4 Pb 0.2654 0.2654 0.2037  3 Ge 2.97, 3 Na 3.31

Calculated values
- Total magnetization: 0.0 μB/f.u.
- Energy of formation: 106 meV per atom
- Fermi-level density of states: 2.576 states/eV/f.u.

No. 7
Below is crystalline NaGe2Pb2 at its relaxed geometry, with properties calculated at the PBE level.

Lattice parameters (Å, degrees): 4.9221 4.9221 7.0425 69.55 69.55 90.00
Closest atoms and distances in Å follow each position.
Sites, in units of the cell vectors:
1 Pb 0.7500 0.2500 0.5000  4 Ge 3.06
2 Pb 0.2500 0.7500 0.5000  4 Ge 3.06
3 Na 0.0000 0.0000 0.0000  8 Ge 3.70, 8 Pb 3.93
4 Ge 0.3985 0.3985 0.2030  1 Ge 2.49
5 Ge 0.6015 0.6015 0.7970  1 Ge 2.49

Calculated values
- Total magnetization: 0.0 μB/f.u.
- Energy of formation: 85 meV per atom
- Fermi-level density of states: 2.949 states/eV/f.u.
- Polymorph energy (0 for the lowest one): 36 meV per atom

No. 8
Below is crystalline Na2GePb at its relaxed geometry, with properties calculated at the PBE level.

Lattice parameters (Å, degrees): 6.3335 10.7660 8.0221 128.09 90.00 90.00
Closest atoms and distances in Å follow each position.
Sites, in units of the cell vectors:
1 Na 0.7518 0.0483 0.0828  2 Pb 3.11-3.23, 2 Ge 3.25-3.45, 5 Na 3.27-3.46
2 Na 0.2518 0.4517 0.9172  2 Pb 3.11-3.23, 2 Ge 3.25-3.45, 5 Na 3.27-3.46
3 Na 0.2482 0.9517 0.9172  2 Pb 3.11-3.23, 2 Ge 3.25-3.45, 5 Na 3.27-3.46
4 Na 0.7482 0.5483 0.0828  2 Pb 3.11-3.23, 2 Ge 3.25-3.45, 5 Na 3.27-3.46
5 Na 0.9749 0.6440 0.7824  3 Ge 3.21-3.31, 4 Na 3.27-3.59, 2 Pb 3.29-3.35
6 Na 0.4749 0.8560 0.2176  3 Ge 3.21-3.31, 4 Na 3.27-3.59, 2 Pb 3.29-3.35
7 Na 0.0251 0.3560 0.2176  3 Ge 3.21-3.31, 4 Na 3.27-3.59, 2 Pb 3.29-3.35
8 Na 0.5251 0.1440 0.7824  3 Ge 3.21-3.31, 4 Na 3.27-3.59, 2 Pb 3.29-3.35
9 Ge 0.5264 0.4111 0.3044  1 Ge 2.49
10 Ge 0.0264 0.0889 0.6956  1 Ge 2.49
11 Ge 0.4736 0.5889 0.6956  1 Ge 2.49
12 Ge 0.9736 0.9111 0.3044  1 Ge 2.49
13 Pb 0.2737 0.2123 0.4257  4 Na 3.11-3.35, 3 Ge 3.26-3.45, 2 Pb 3.30
14 Pb 0.7737 0.2877 0.5743  4 Na 3.11-3.35, 3 Ge 3.26-3.45, 2 Pb 3.30
15 Pb 0.7263 0.7877 0.5743  4 Na 3.11-3.35, 3 Ge 3.26-3.45, 2 Pb 3.30
16 Pb 0.2263 0.7123 0.4257  4 Na 3.11-3.35, 3 Ge 3.26-3.45, 2 Pb 3.30

Calculated values
- Total magnetization: 0.0 μB/f.u.
- Energy of formation: -60 meV per atom
- Fermi-level density of states: 1.166 states/eV/f.u.
- Polymorph energy (0 for the lowest one): 0 meV per atom

No. 9
Below is crystalline NaGePb2 at its relaxed geometry, with properties calculated at the PBE level.

Lattice parameters (Å, degrees): 4.6342 4.7999 4.7999 90.00 90.00 90.00
Closest atoms and distances in Å follow each position.
Sites, in units of the cell vectors:
1 Pb 0.0000 0.0000 0.5000  4 Ge 3.34, 4 Na 3.34, 4 Pb 3.39
2 Pb 0.0000 0.5000 0.0000  4 Ge 3.34, 4 Na 3.34, 4 Pb 3.39
3 Na 0.5000 0.5000 0.5000  8 Pb 3.34, 4 Ge 3.39
4 Ge 0.5000 0.0000 0.0000  8 Pb 3.34, 4 Na 3.39

Calculated values
- Total magnetization: 0.0 μB/f.u.
- Energy of formation: 0 meV per atom
- Fermi-level density of states: 1.750 states/eV/f.u.

No. 10
Below is crystalline NaGe4Pb at its relaxed geometry, with properties calculated at the PBE level.

Lattice parameters (Å, degrees): 5.7471 5.7471 5.7471 60.00 60.00 60.00
Closest atoms and distances in Å follow each position.
Sites, in units of the cell vectors:
1 Pb 0.2500 0.2500 0.2500  12 Ge 3.37, 4 Na 3.52
2 Na 0.0000 0.0000 0.0000  12 Ge 3.37, 4 Pb 3.52
3 Ge 0.6255 0.6255 0.1236  6 Ge 2.86-2.88
4 Ge 0.6255 0.1236 0.6255  6 Ge 2.86-2.88
5 Ge 0.6255 0.6255 0.6255  6 Ge 2.86-2.88
6 Ge 0.1236 0.6255 0.6255  6 Ge 2.86-2.88

Calculated values
- Total magnetization: 0.0 μB/f.u.
- Energy of formation: 110 meV per atom
- Fermi-level density of states: 4.976 states/eV/f.u.

No. 11
Below is crystalline NaGe2Pb2 at its relaxed geometry, with properties calculated at the PBE level.

Lattice parameters (Å, degrees): 4.0985 4.0985 8.7482 76.45 76.45 90.00
Closest atoms and distances in Å follow each position.
Sites, in units of the cell vectors:
1 Pb 0.3878 0.3878 0.2244  4 Ge 3.06
2 Pb 0.6122 0.6122 0.7756  4 Ge 3.06
3 Na 0.0000 0.0000 0.0000  8 Pb 3.44
4 Ge 0.7500 0.2500 0.5000  4 Ge 2.90, 4 Pb 3.06
5 Ge 0.2500 0.7500 0.5000  4 Ge 2.90, 4 Pb 3.06

Calculated values
- Total magnetization: 0.0 μB/f.u.
- Energy of formation: 113 meV per atom
- Fermi-level density of states: 2.119 states/eV/f.u.
- Polymorph energy (0 for the lowest one): 64 meV per atom

No. 12
Below is crystalline Na2GePb at its relaxed geometry, with properties calculated at the PBE level.

Lattice parameters (Å, degrees): 3.7428 3.7428 7.1304 90.00 90.00 90.00
Closest atoms and distances in Å follow each position.
Sites, in units of the cell vectors:
1 Pb 0.5000 0.5000 0.0000  8 Na 3.30, 2 Ge 3.57
2 Na 0.0000 0.0000 0.7239  4 Ge 3.09, 1 Na 3.19, 4 Pb 3.30
3 Na 0.0000 0.0000 0.2761  4 Ge 3.09, 1 Na 3.19, 4 Pb 3.30
4 Ge 0.5000 0.5000 0.5000  8 Na 3.09

Calculated values
- Total magnetization: 0.0 μB/f.u.
- Energy of formation: 9 meV per atom
- Fermi-level density of states: 1.955 states/eV/f.u.
- Polymorph energy (0 for the lowest one): 70 meV per atom

Look up the energy of formation of the eighth one. -60 meV per atom